# 1
CoAgIr2 | PBE | relaxed

Cell and atoms, written as CIF:
```
data_CoAgIr2
_symmetry_space_group_name_H-M 'C m m m'
_symmetry_Int_Tables_number 65
_symmetry_space_group_name_Hall '-C 2 2'
_cell_length_a 5.4217
_cell_length_b 7.8629
_cell_length_c 2.7235
_cell_angle_alpha 90.00
_cell_angle_beta 90.00
_cell_angle_gamma 90.00
loop_
_atom_site_label
_atom_site_fract_x
_atom_site_fract_y
_atom_site_fract_z
Co1 0.0000 0.0000 0.0000
Ag1 0.0000 0.5000 0.0000
Ir1 0.2500 0.2500 0.5000
```

Properties
- Energy: -6.445 eV per atom
- Energy relative to the elements: 475 meV per atom
- Size of the total moment: 5.257 Bohr magnetons per cell
- Fermi-level density of states: 1.6020 states/eV/atom

***

# 2
CoAg2Ir | PBE | relaxed

Cell and atoms, written as CIF:
```
data_CoAg2Ir
_symmetry_space_group_name_H-M 'P 4/m m m'
_symmetry_Int_Tables_number 123
_symmetry_space_group_name_Hall '-P 4 2'
_cell_length_a 3.7865
_cell_length_b 3.7865
_cell_length_c 4.2935
_cell_angle_alpha 90.00
_cell_angle_beta 90.00
_cell_angle_gamma 90.00
loop_
_atom_site_label
_atom_site_fract_x
_atom_site_fract_y
_atom_site_fract_z
Co1 0.0000 0.0000 0.0000
Ag1 0.0000 0.5000 0.5000
Ir1 0.5000 0.5000 0.0000
```

Properties
- Energy: -4.924 eV per atom
- Energy relative to the elements: 493 meV per atom
- Size of the total moment: 2.894 Bohr magnetons per cell
- Fermi-level density of states: 1.1165 states/eV/atom

***

# 3
CoAg2Ir | PBE | relaxed

Cell and atoms, written as CIF:
```
data_CoAg2Ir
_symmetry_space_group_name_H-M 'P 4/m m m'
_symmetry_Int_Tables_number 123
_symmetry_space_group_name_Hall '-P 4 2'
_cell_length_a 2.7073
_cell_length_b 2.7073
_cell_length_c 8.3867
_cell_angle_alpha 90.00
_cell_angle_beta 90.00
_cell_angle_gamma 90.00
loop_
_atom_site_label
_atom_site_fract_x
_atom_site_fract_y
_atom_site_fract_z
Co1 0.0000 0.0000 0.0000
Ag1 0.5000 0.5000 0.2391
Ir1 0.0000 0.0000 0.5000
```

Properties
- Energy: -4.893 eV per atom
- Energy relative to the elements: 525 meV per atom
- Size of the total moment: 2.519 Bohr magnetons per cell
- Fermi-level density of states: 1.2683 states/eV/atom

***

# 4
CoAg2Ir | PBE | relaxed

Cell and atoms, written as CIF:
```
data_CoAg2Ir
_symmetry_space_group_name_H-M 'R -3 m'
_symmetry_Int_Tables_number 166
_symmetry_space_group_name_Hall '-R 3 2"'
_cell_length_a 2.7342
_cell_length_b 2.7342
_cell_length_c 28.3681
_cell_angle_alpha 90.00
_cell_angle_beta 90.00
_cell_angle_gamma 120.00
loop_
_atom_site_label
_atom_site_fract_x
_atom_site_fract_y
_atom_site_fract_z
Co1 0.0000 0.0000 0.0000
Ag1 0.0000 0.0000 0.2535
Ir1 0.0000 0.0000 0.5000
```

Properties
- Energy: -5.016 eV per atom
- Energy relative to the elements: 401 meV per atom
- Size of the total moment: 5.339 Bohr magnetons per cell
- Fermi-level density of states: 0.8351 states/eV/atom

***

# 5
CoAg2Ir | PBE | relaxed

Cell and atoms, written as CIF:
```
data_CoAg2Ir
_symmetry_space_group_name_H-M 'I 4/m m m'
_symmetry_Int_Tables_number 139
_symmetry_space_group_name_Hall '-I 4 2'
_cell_length_a 3.7937
_cell_length_b 3.7937
_cell_length_c 8.5596
_cell_angle_alpha 90.00
_cell_angle_beta 90.00
_cell_angle_gamma 90.00
loop_
_atom_site_label
_atom_site_fract_x
_atom_site_fract_y
_atom_site_fract_z
Co1 0.0000 0.0000 0.0000
Ag1 0.0000 0.5000 0.2500
Ir1 0.0000 0.0000 0.5000
```

Properties
- Energy: -4.904 eV per atom
- Energy relative to the elements: 514 meV per atom
- Size of the total moment: 5.493 Bohr magnetons per cell
- Fermi-level density of states: 1.1670 states/eV/atom

***

# 6
CoAg2Ir | PBE | relaxed

Cell and atoms, written as CIF:
```
data_CoAg2Ir
_symmetry_space_group_name_H-M 'I -4 2 d'
_symmetry_Int_Tables_number 122
_symmetry_space_group_name_Hall 'I -4 2bw'
_cell_length_a 7.2167
_cell_length_b 7.2167
_cell_length_c 5.1708
_cell_angle_alpha 90.00
_cell_angle_beta 90.00
_cell_angle_gamma 90.00
loop_
_atom_site_label
_atom_site_fract_x
_atom_site_fract_y
_atom_site_fract_z
Co1 0.0000 0.0000 0.0000
Ag1 0.2307 0.2500 0.1250
Ir1 0.0000 0.0000 0.5000
```

Properties
- Energy: -4.487 eV per atom
- Energy relative to the elements: 931 meV per atom
- Size of the total moment: 10.936 Bohr magnetons per cell
- Fermi-level density of states: 1.5952 states/eV/atom

***

# 7
CoAg2Ir | PBE | relaxed

Cell and atoms, written as CIF:
```
data_CoAg2Ir
_symmetry_space_group_name_H-M 'C 1 2/m 1'
_symmetry_Int_Tables_number 12
_symmetry_space_group_name_Hall '-C 2y'
_cell_length_a 9.6024
_cell_length_b 2.7621
_cell_length_c 4.6873
_cell_angle_alpha 90.00
_cell_angle_beta 100.54
_cell_angle_gamma 90.00
loop_
_atom_site_label
_atom_site_fract_x
_atom_site_fract_y
_atom_site_fract_z
Co1 0.0000 0.0000 0.0000
Ag1 0.2474 0.5000 0.2472
Ir1 0.0000 0.5000 0.5000
```

Properties
- Energy: -4.995 eV per atom
- Energy relative to the elements: 423 meV per atom
- Size of the total moment: 4.551 Bohr magnetons per cell
- Fermi-level density of states: 1.3245 states/eV/atom

***

# 8
CoAgIr2 | PBE | relaxed

Cell and atoms, written as CIF:
```
data_CoAgIr2
_symmetry_space_group_name_H-M 'P m m m'
_symmetry_Int_Tables_number 47
_symmetry_space_group_name_Hall '-P 2 2'
_cell_length_a 2.7467
_cell_length_b 4.6396
_cell_length_c 4.6533
_cell_angle_alpha 90.00
_cell_angle_beta 90.00
_cell_angle_gamma 90.00
loop_
_atom_site_label
_atom_site_fract_x
_atom_site_fract_y
_atom_site_fract_z
Co1 0.0000 0.0000 0.0000
Ag1 0.5000 0.0000 0.5000
Ir1 0.0000 0.5000 0.5000
Ir2 0.5000 0.5000 0.0000
```

Properties
- Energy: -6.457 eV per atom
- Energy relative to the elements: 463 meV per atom
- Size of the total moment: 2.838 Bohr magnetons per cell
- Fermi-level density of states: 1.6140 states/eV/atom